NbAlZnCu PBE-GGA optimized geometry; SG = No. 47; total magnetic moment = 0.00 Bohr magnetons per cell; ΔH_f (0 K) = -0.214 eV/atom; E_tot = -20.04 eV/cell
1.0
3.821 0.000 0.000
0.000 3.910 0.000
0.000 0.000 4.010
Nb Al Zn Cu
1 1 1 1
Direct
0.000 0.000 0.000 Nb
0.500 0.500 0.000 Al
0.500 0.000 0.500 Zn
0.000 0.500 0.500 Cu